(1)
# CaLaIr2

A relaxed structure of CaLaIr2 (GGA-PBE, Alexandria via LeMat-Bulk).

a b c (Å): 5.0351 5.0351 3.4016
angles (deg): 90.00 90.00 96.95
Closest atoms and distances in Å follow each position.
Atoms (fractional coordinates):
Ir1 0.0000 0.0000 0.0000  4 La 3.04, 4 Ca 3.04, 4 Ir 3.34-3.40
Ir2 0.5000 0.5000 0.0000  4 Ca 3.04, 4 La 3.04, 4 Ir 3.34-3.40
Ca1 0.0000 0.5000 0.5000  8 Ir 3.04, 2 La 3.34, 2 Ca 3.40
La1 0.5000 0.0000 0.5000  8 Ir 3.04, 2 Ca 3.34, 2 La 3.40

Properties
Excess energy over the best structure of this formula in the dataset in meV/atom: 12
DFT total energy in eV/atom: -6.53
SG: Cmmm (65)

---

(2)
# AcUTi2O8

A relaxed structure of AcUTi2O8 (GGA-PBE, Alexandria via LeMat-Bulk).

a b c (Å): 6.1921 6.1921 6.1921
angles (deg): 106.73 106.73 115.10
Closest atoms and distances in Å follow each position.
Atoms (fractional coordinates):
Ti1 0.5000 0.5000 0.0000  4 O 1.84
Ti2 0.7500 0.2500 0.5000  4 O 1.83
O1 0.7215 0.0510 0.6705  1 Ti 1.83
O2 0.4711 0.6689 0.8022  1 Ti 1.84
O3 0.3311 0.1333 0.8022  1 Ti 1.84
O4 0.3804 0.0510 0.3295  1 Ti 1.83
O5 0.3311 0.5289 0.1978  1 Ti 1.84
O6 0.9490 0.2785 0.3295  1 Ti 1.83
O7 0.8667 0.6689 0.1978  1 Ti 1.84
O8 0.9490 0.6196 0.6705  1 Ti 1.83
Ac1 0.0000 0.0000 0.0000  8 O 2.46-2.64
U1 0.2500 0.7500 0.5000  8 O 2.30-2.36

Properties
DFT total energy in eV/atom: -9.05
SG: I-4m2 (119)

---

Question: Among the records above, which one has the highest DFT total energy?
Answer: CaLaIr2

---

Question: Look up the DFT total energy of the first one.
Answer: -6.53 eV/atom